Li2ErHf2S6: optimized geometry, PBE.

Cell: 6.423 6.423 6.569 Å, 99.33 99.33 120.40°
Atoms (fractional coordinates):
Li 0.834 0.166 0.000
Li 0.166 0.834 0.000
Er 0.000 0.000 0.500
Hf 0.335 0.665 0.500
Hf 0.665 0.335 0.500
S 0.735 0.735 0.744
S 0.077 0.428 0.742
S 0.265 0.265 0.256
S 0.428 0.077 0.742
S 0.923 0.572 0.258
S 0.572 0.923 0.258

Results
raw formation energy = -1.6460 eV per atom
N(E_F) = 0.3237 states/eV/atom
space-group type = No. 12